# 1
PBE La2PrAl9, relaxed; E_form = -0.38 eV/atom; space-group type = R-3m, No. 166; spin magnetization = 0.000 μB per atom
1.0
2.862 1.652 8.948
-2.862 1.652 8.948
0.000 -3.304 8.948
La Pr Al
2 1 9
Cartesian
0.000 0.000 3.800
0.000 0.000 23.045
0.000 0.000 0.000
-1.459 -0.843 11.135
0.000 0.000 8.996
0.000 -1.685 15.710
-1.459 0.843 15.710
0.000 0.000 13.422
1.459 -0.843 11.135
0.000 1.685 11.135
0.000 0.000 17.849
1.459 0.843 15.710

# 2
PBE Cs2ScBr5, relaxed; distance to the lowest polymorph of the same formula = 0.0 meV per atom; ΔE_f (raw) = -14.35 eV/f.u.; space-group type = P4/mmm, No. 123; spin magnetization = 0.000 μB per atom
1.0
7.946 0.000 0.000
0.000 7.946 0.000
0.000 0.000 5.384
Cs Sc Br
2 1 5
Cartesian
0.000 3.973 0.000
3.973 0.000 0.000
0.000 0.000 2.692
0.000 0.000 0.000
1.873 1.873 2.692
1.873 6.073 2.692
6.073 1.873 2.692
6.073 6.073 2.692

Looking at DFT total energy for the records above, in order, we have -52.914, -30.754 eV/cell.